Record 1
Density functional theory data (GGA-PBE) for an optimized crystal structure of LaCePrAl.

It has space group F-43m (No. 216), with a = 7.726 Å, b = 7.726 Å, c = 7.726 Å, α = 90.00°, β = 90.00° and γ = 90.00°. The inequivalent atoms are La at (0.000, 0.000, 0.000), Ce at (0.250, 0.250, 0.250), Pr at (0.000, 0.000, 0.500) and Al at (0.250, 0.250, 0.750).

The value obtained for the formation energy from the elements is 0.00 eV per atom. For the theoretical density, the calculation gives 6.44 g cm⁻³. The total energy comes out at -4.8451 eV/atom.



Record 2
Density functional theory data (GGA-PBE) for an optimized crystal structure of InReHg2Br.

It has space group P4/mmm (No. 123), with a = 5.366 Å, b = 5.366 Å, c = 5.464 Å, α = 90.00°, β = 90.00° and γ = 90.00°. The inequivalent atoms are In at (0.000, 0.000, 0.000), Re at (0.000, 0.000, 0.500), Hg at (0.000, 0.500, 0.500) and Br at (0.500, 0.500, 0.000).

The formation energy without anion corrections is 0.633 eV per atom. For the theoretical density, the calculation gives 8.25 g cm⁻³. Its distance to the lowest polymorph of the same formula is 0.000 eV/atom. The total energy comes out at -2.8592 eV/atom.



Record 3
Density functional theory data (GGA-PBE) for an optimized crystal structure of RbHf2Sn.

It has space group Fm-3m (No. 225), with a = 7.316 Å, b = 7.316 Å, c = 7.316 Å, α = 90.00°, β = 90.00° and γ = 90.00°. The inequivalent atoms are Rb at (0.000, 0.000, 0.000), Hf at (0.250, 0.250, 0.250) and Sn at (0.000, 0.000, 0.500).

The value obtained for the formation energy from the elements is 0.83 eV per atom. For the theoretical density, the calculation gives 9.52 g cm⁻³. Its distance to the lowest polymorph of the same formula is 0.000 eV/atom. The total energy comes out at -5.3933 eV/atom.



Record 4
Density functional theory data (GGA-PBE) for an optimized crystal structure of Fe2TePt.

It has space group Pm (No. 6), with a = 3.542 Å, b = 4.248 Å, c = 4.275 Å, α = 90.00°, β = 90.06° and γ = 90.00°. The inequivalent atoms are Fe at (0.000, 0.000, 0.000), Fe at (0.000, 0.500, 0.317), Te at (0.501, 0.000, 0.469) and Pt at (0.499, 0.500, 0.850).

The formation energy without anion corrections is 0.174 eV per atom. For the theoretical density, the calculation gives 11.21 g cm⁻³. The total energy comes out at -6.3532 eV/atom.